A plane-wave DFT calculation with SCAN was carried out for a crystal of Sr2AsCl relaxed with PBEsol.

Properties
Total magnetic moment, μB/cell: 0.0
V, A^3/atom: 26.2
ρ, g/cm3: 4.52
VASP energy, eV/atom: -19.9369
ΔE_f (raw), meV per atom: -1757.2

abc: 5.2964 5.2953 5.2953
angles: 59.98 59.99 59.99
Fractional coordinates of all 4 atoms:
Sr1 0.2500 0.7500 0.7500
Sr2 0.7500 0.2500 0.2500
As1 0.0000 0.5000 0.5000
Cl1 0.5000 0.0000 0.0000

---

A plane-wave DFT calculation with SCAN was carried out for a crystal of Ca2TcAsAu relaxed with PBEsol.

Properties
Total magnetic moment, μB/cell: 2.2
ΔH_f (0 K), eV per atom: 0.53
V, A^3/atom: 27.0
ρ, g/cm3: 5.53
VASP energy, eV/atom: -28.2178

abc: 4.7869 5.3120 5.3120
angles: 90.00 90.00 90.00
Fractional coordinates of all 5 atoms:
As1 0.5000 0.5000 0.5000
Ca1 0.0000 0.0000 0.5000
Ca2 0.0000 0.5000 0.0000
Au1 0.5000 0.0000 0.0000
Tc1 0.0000 0.0000 0.0000

---

A plane-wave DFT calculation with SCAN was carried out for a crystal of Al2C relaxed with PBEsol.

Properties
Total magnetic moment, μB/cell: 0.0
ΔH_f (0 K), eV per atom: 0.19
V, A^3/atom: 12.0
ρ, g/cm3: 3.04
VASP energy, eV/atom: -8.3472

abc: 3.0835 4.6248 5.0602
angles: 90.00 90.00 90.00
Fractional coordinates of all 6 atoms:
C1 0.0000 0.0000 0.0000
C2 0.5000 0.5000 0.5000
Al1 0.0000 0.2396 0.6465
Al2 0.0000 0.7604 0.3535
Al3 0.5000 0.7396 0.8535
Al4 0.5000 0.2604 0.1465

---

A plane-wave DFT calculation with SCAN was carried out for a crystal of BeCoRu relaxed with PBEsol.

Properties
Energy above the most stable polymorph in this dataset, meV/atom: 0
Total magnetic moment, μB/cell: 1.6
ΔH_f (0 K), eV per atom: -0.12
V, A^3/atom: 10.3
ρ, g/cm3: 9.10
VASP energy, eV/atom: -18.9473

abc: 2.6564 2.6564 4.7576
angles: 106.21 106.21 90.00
Fractional coordinates of all 3 atoms:
Ru1 0.3390 0.3390 0.6779
Co1 0.6512 0.6512 0.3024
Be1 0.0098 0.0098 0.0197

---

A plane-wave DFT calculation with SCAN was carried out for a crystal of NiMoW2 relaxed with PBEsol.

Properties
Energy above the most stable polymorph in this dataset, meV/atom: 0
Total magnetic moment, μB/cell: 0.0
ΔH_f (0 K), eV per atom: 0.19
V, A^3/atom: 14.5
ρ, g/cm3: 14.96
VASP energy, eV/atom: -47.4194

abc: 2.6340 4.3784 5.0886
angles: 90.00 98.95 90.00
Fractional coordinates of all 4 atoms:
Mo1 0.5248 0.0000 0.5062
Ni1 0.1559 0.5000 0.7494
W1 0.0486 0.0000 0.9981
W2 0.7707 0.5000 0.2463

---

A plane-wave DFT calculation with SCAN was carried out for a crystal of CaPrTi2O6 relaxed with PBEsol.

Properties
Total magnetic moment, μB/cell: 0.0
V, A^3/atom: 11.5
ρ, g/cm3: 5.37
VASP energy, eV/atom: -15.7411
ΔE_f (raw), meV per atom: -3497.5

abc: 5.4178 5.5113 7.7202
angles: 90.00 90.00 90.00
Fractional coordinates of all 20 atoms:
Ca1 0.5082 0.7953 0.0000
Ca2 0.0082 0.2047 0.5000
Pr1 0.9920 0.2930 0.0000
Pr2 0.4920 0.7070 0.5000
Ti1 0.9996 0.7517 0.7505
Ti2 0.9996 0.7517 0.2495
Ti3 0.4996 0.2483 0.2505
Ti4 0.4996 0.2483 0.7495
O1 0.9279 0.7697 0.5000
O2 0.7903 0.0394 0.7882
O3 0.7903 0.0394 0.2118
O4 0.7077 0.5407 0.2093
O5 0.7077 0.5407 0.7907
O6 0.5772 0.2661 0.5000
O7 0.4279 0.2303 0.0000
O8 0.2903 0.9606 0.7118
O9 0.2903 0.9606 0.2882
O10 0.2077 0.4593 0.7093
O11 0.2077 0.4593 0.2907
O12 0.0772 0.7339 0.0000

---

A plane-wave DFT calculation with SCAN was carried out for a crystal of TaNiPt2 relaxed with PBEsol.

Properties
Total magnetic moment, μB/cell: 0.0
ΔH_f (0 K), eV per atom: -0.69
V, A^3/atom: 14.3
ρ, g/cm3: 18.25
VASP energy, eV/atom: -56.4729

abc: 3.8183 3.8183 4.7687
angles: 113.60 113.60 90.00
Fractional coordinates of all 4 atoms:
Ni1 0.2500 0.7500 0.5000
Pt1 0.5000 0.5000 0.0000
Pt2 0.7500 0.2500 0.5000
Ta1 0.0000 0.0000 0.0000

---

A plane-wave DFT calculation with SCAN was carried out for a crystal of B8O relaxed with PBEsol.

Properties
Energy above the most stable polymorph in this dataset, meV/atom: 0
Total magnetic moment, μB/cell: 0.0
V, A^3/atom: 7.3
ρ, g/cm3: 2.58
VASP energy, eV/atom: -7.8942
ΔE_f (raw), meV per atom: -597.9

abc: 5.2927 7.3229 10.2261
angles: 92.34 90.00 90.00
Fractional coordinates of all 54 atoms:
B1 0.0837 0.0829 0.7906
B2 0.0328 0.6752 0.6996
B3 0.0159 0.8091 0.5587
B4 0.5805 0.5807 0.5436
B5 0.9195 0.5807 0.5436
B6 0.0805 0.4193 0.4564
B7 0.7500 0.7493 0.4617
B8 0.5328 0.3248 0.3004
B9 0.9672 0.3248 0.3004
B10 0.0801 0.0892 0.2858
B11 0.2500 0.2586 0.2034
B12 0.0105 0.6856 0.1990
B13 0.7500 0.5298 0.2000
B14 0.7500 0.9509 0.0632
B15 0.0124 0.8083 0.0567
B16 0.5848 0.5755 0.0462
B17 0.9152 0.5755 0.0462
B18 0.0848 0.4245 0.9538
B19 0.9876 0.1917 0.9433
B20 0.5124 0.1917 0.9433
B21 0.2500 0.0491 0.9368
B22 0.7500 0.7433 0.9613
B23 0.7500 0.7414 0.7966
B24 0.5105 0.3144 0.8010
B25 0.9895 0.3144 0.8010
B26 0.4163 0.0829 0.7906
B27 0.9199 0.9108 0.7142
B28 0.5801 0.9108 0.7142
B29 0.4672 0.6752 0.6996
B30 0.2500 0.2513 0.7034
B31 0.7500 0.5451 0.6871
B32 0.7500 0.9500 0.5673
B33 0.4841 0.8091 0.5587
B34 0.4195 0.4193 0.4564
B35 0.9841 0.1909 0.4413
B36 0.5159 0.1909 0.4413
B37 0.2500 0.0500 0.4327
B38 0.2500 0.4549 0.3129
B39 0.7500 0.7487 0.2966
B40 0.4199 0.0892 0.2858
B41 0.9163 0.9171 0.2094
B42 0.5837 0.9171 0.2094
B43 0.4895 0.6856 0.1990
B44 0.2500 0.2567 0.0387
B45 0.4876 0.8083 0.0567
B46 0.4152 0.4245 0.9538
B47 0.2500 0.4702 0.8000
B48 0.2500 0.2507 0.5383
O1 0.2500 0.8717 0.4966
O2 0.2500 0.6339 0.2576
O3 0.7500 0.1319 0.0038
O4 0.2500 0.8681 0.9962
O5 0.7500 0.3661 0.7424
O6 0.7500 0.1283 0.5034

---

A plane-wave DFT calculation with SCAN was carried out for a crystal of Ta2ReH2 relaxed with PBEsol.

Properties
Total magnetic moment, μB/cell: 0.0
V, A^3/atom: 11.1
ρ, g/cm3: 16.45
VASP energy, eV/atom: -42.4883

abc: 3.0865 3.0865 6.2245
angles: 104.36 104.36 90.00
Fractional coordinates of all 5 atoms:
Re1 0.0000 0.0000 0.0000
H1 0.2500 0.7500 0.5000
H2 0.7500 0.2500 0.5000
Ta1 0.3597 0.3597 0.7195
Ta2 0.6403 0.6403 0.2805

---

A plane-wave DFT calculation with SCAN was carried out for a crystal of NaCa2Tl2 relaxed with PBEsol.

Properties
Energy above the most stable polymorph in this dataset, meV/atom: 0
Total magnetic moment, μB/cell: 0.0
ΔH_f (0 K), eV per atom: -0.46
V, A^3/atom: 29.8
ρ, g/cm3: 5.71
VASP energy, eV/atom: -34.1093

abc: 3.7662 8.8887 8.8887
angles: 90.00 90.00 90.00
Fractional coordinates of all 10 atoms:
Na1 0.0000 0.0000 0.0000
Na2 0.0000 0.5000 0.5000
Tl1 0.0000 0.3722 0.8722
Tl2 0.0000 0.8722 0.6278
Tl3 0.0000 0.6278 0.1278
Tl4 0.0000 0.1278 0.3722
Ca1 0.5000 0.1699 0.6699
Ca2 0.5000 0.6699 0.8301
Ca3 0.5000 0.8301 0.3301
Ca4 0.5000 0.3301 0.1699

---

A plane-wave DFT calculation with SCAN was carried out for a crystal of SbP2Rh relaxed with PBEsol.

Properties
Total magnetic moment, μB/cell: 0.0
V, A^3/atom: 17.1
ρ, g/cm3: 6.97
VASP energy, eV/atom: -22.9933
ΔE_f (raw), meV per atom: -35.9

abc: 3.7014 3.7014 6.1426
angles: 72.47 72.47 60.00
Fractional coordinates of all 4 atoms:
P1 0.7326 0.7326 0.8023
P2 0.2674 0.2674 0.1977
Rh1 0.0000 0.0000 0.0000
Sb1 0.5000 0.5000 0.5000

---

A plane-wave DFT calculation with SCAN was carried out for a crystal of Sr2MgMoO6 relaxed with PBEsol.

Properties
Total magnetic moment, μB/cell: 0.0
V, A^3/atom: 12.2
ρ, g/cm3: 5.33
VASP energy, eV/atom: -15.0937
ΔE_f (raw), meV per atom: -2914.0

abc: 5.5397 5.5786 5.5397
angles: 60.23 90.00 119.77
Fractional coordinates of all 10 atoms:
Sr1 0.7500 0.5000 0.7500
Sr2 0.2500 0.5000 0.2500
Mo1 0.5000 0.0000 0.5000
Mg1 0.0000 0.0000 0.0000
O1 0.2588 0.5176 0.7412
O2 0.7412 0.4824 0.2588
O3 0.7799 0.0000 0.7013
O4 0.2987 0.0000 0.7799
O5 0.2201 0.0000 0.2987
O6 0.7013 0.0000 0.2201